This record from Alexandria via LeMat-Bulk describes crystalline NdNiSn at its relaxed geometry. The functional is GGA-PBEsol.

Cell: 7.4277 4.5470 7.4285 Å, 90.00 90.00 90.00°
Space group Pnma (No. 62)
Inequivalent atoms, fractional coordinates:
Nd  0.0236  0.2500  0.1919 [4 per cell]
Ni  0.1848  0.7500  0.4189 [4 per cell]
Sn  0.1816  0.2500  0.5931 [4 per cell]

Output
Mass density ... 8.5 g/cm³
Total DFT energy (no corrections) ... -70.24 eV per cell
Fermi-level density of states ... 11.099 states/eV/cell
Total moment ... 0.0 μB per cell
DFT formation energy ... -1.98 eV/f.u.